No. 1
This record from the Alexandria database describes an optimized crystal structure of NaAcBrO2. The functional is PBE-GGA.

extended XYZ file:
```
5
Lattice="4.1882 0.0000 0.0000 0.0000 4.1882 0.0000 -2.0941 -2.0941 6.9276" Properties=species:S:1:pos:R:3 pbc="T T T"
Br 2.0941 2.0941 0.3040
O 0.0000 2.0941 3.3992
O 2.0941 0.0000 3.3992
Ac 0.0000 0.0000 2.2157
Na 2.0941 2.0941 4.5371
```

Properties
The calculated volume comes out at 24.3 A^3/atom. For the density of states at the Fermi level, the calculation gives 0.653 states/eV/atom. For the total energy, the calculation gives -5.41 eV per atom. Its total magnetic moment is 1.0 μB/f.u. The space group is No. 107. The calculation puts the energy relative to the elements, uncorrected at -2.00 eV/atom.

=====

No. 2
This record from the Alexandria database describes an optimized crystal structure of Na2HfP. The functional is PBE-GGA.

extended XYZ file:
```
8
Lattice="-2.0075 0.0195 3.2166 -3.1309 -0.8816 -1.9487 -0.2623 -11.9605 2.1435" Properties=species:S:1:pos:R:3 pbc="T T T"
Na -1.6773 -3.0885 2.2477
Na -2.3076 -3.5384 -0.2250
Na -2.1771 -9.3088 2.0498
Na -4.6393 -9.7097 2.7503
P -2.9812 -6.6366 0.4144
P -2.5692 -0.4311 0.6340
Hf -2.4195 -6.1861 2.9970
Hf 0.0000 0.0000 0.0000
```

Properties
The calculated volume comes out at 21.3 A^3/atom. For the energy of formation, the calculation gives -0.032 eV per atom. For the density of states at the Fermi level, the calculation gives 0.532 states/eV/atom. For the total energy, the calculation gives -4.53 eV per atom. Its total magnetic moment is 0.0 μB/f.u. The space group is No. 122.